Y3Tl2Ag4 | GGA-PBE | optimized geometry

```
Y3Tl2Ag4
1.0
5.466 -2.436 0.000
5.466 2.436 0.000
-4.494 0.000 7.952
Y Tl Ag
3 2 4
direct
0.000 0.000 0.000
0.339 0.339 0.326
0.661 0.661 0.674
0.379 0.379 0.715
0.621 0.621 0.285
0.059 0.059 0.395
0.273 0.273 0.945
0.727 0.727 0.055
0.941 0.941 0.605
```

Calculated values
Fermi-level density of states = 5.7 states/eV/cell
total DFT energy (no corrections) = -37.97 eV for the cell shown



Y6Tl5Ag | GGA-PBE | optimized geometry

```
Y6Tl5Ag
1.0
2.677 -8.038 0.000
2.677 8.038 0.000
0.000 0.000 7.515
Y Tl Ag
6 5 1
direct
0.000 0.000 0.245
0.000 0.000 0.755
0.335 0.665 0.246
0.335 0.665 0.754
0.665 0.335 0.246
0.665 0.335 0.754
0.162 0.838 0.000
0.167 0.833 0.500
0.500 0.500 0.500
0.833 0.167 0.500
0.838 0.162 0.000
0.500 0.500 0.000
```

Calculated values
Fermi-level density of states = 11.7 states/eV/cell
total DFT energy (no corrections) = -57.92 eV for the cell shown



YTlAg2 | GGA-PBE | optimized geometry

```
YTlAg2
1.0
3.389 0.000 0.000
0.000 4.919 0.000
-0.035 0.000 5.759
Y Tl Ag
1 1 2
direct
0.000 0.000 0.000
0.495 0.500 0.731
0.502 0.000 0.476
0.503 0.500 0.229
```

Calculated values
Fermi-level density of states = 1.8 states/eV/cell
total DFT energy (no corrections) = -14.93 eV for the cell shown
polymorph energy (0 for the lowest one) = 0.138 eV per atom



YTlAg2 | GGA-PBE | optimized geometry

```
YTlAg2
1.0
7.086 0.000 0.000
0.000 7.086 0.000
0.000 0.000 7.086
Y Tl Ag
4 4 8
direct
0.000 0.000 0.000
0.000 0.500 0.500
0.500 0.000 0.500
0.500 0.500 0.000
0.250 0.250 0.250
0.250 0.750 0.750
0.750 0.250 0.750
0.750 0.750 0.250
0.000 0.000 0.500
0.000 0.500 0.000
0.250 0.250 0.750
0.250 0.750 0.250
0.500 0.000 0.000
0.500 0.500 0.500
0.750 0.250 0.250
0.750 0.750 0.750
```

Calculated values
Fermi-level density of states = 7.8 states/eV/cell
total DFT energy (no corrections) = -61.48 eV for the cell shown
polymorph energy (0 for the lowest one) = 0.027 eV per atom



> Among the records above, which one has the lowest total DFT energy (no corrections)?

number 4